! Cs2CoBr6O GGA+U optimized geometry; values from VASP
! electronic total energy: -2.785 eV per atom
! space-group type: I4/mmm, No. 139
&SYSTEM
  ibrav = 0, nat = 10, ntyp = 4
/
ATOMIC_SPECIES
Cs 132.91 Cs.upf
Co 58.93 Co.upf
Br 79.90 Br.upf
O 16.00 O.upf
ATOMIC_POSITIONS angstrom
Cs 3.5833 0.0000 3.0712
Cs 0.0000 3.5833 3.0712
Co 0.0000 0.0000 0.0000
Br 0.0000 0.0000 2.4241
Br 1.9400 1.9400 0.0000
Br 1.6433 -1.6433 6.1424
Br -1.6433 1.6433 6.1424
Br 1.6433 1.6433 6.1424
Br 0.0000 0.0000 9.8607
O 0.0000 0.0000 6.1424
CELL_PARAMETERS angstrom
-3.5833 3.5833 6.1424
3.5833 -3.5833 6.1424
3.5833 3.5833 -6.1424